A plane-wave DFT calculation with PBE was carried out for a geometry-optimized Sm8Dy4Er3 structure.

Output
M_tot: 0.00 μB/f.u.
VASP energy: -4.303 eV/atom
ΔE to the lowest computed polymorph: 0.204 eV/atom
E_form: 5.30 eV per formula unit

a = 13.6360 Å, b = 12.1078 Å, c = 6.8464 Å
α = 90.00°, β = 117.85°, γ = 90.00°
Last column: nearest neighbours and their distance in Å.
Space group C2/m (No. 12)
One atom of each set of equivalent atoms:
Sm (0.0000, 0.2038, 0.0000) [4 per cell]  3 Dy 3.45-3.59, 4 Sm 3.46-3.47, 2 Er 3.57
Sm (0.0000, 0.2524, 0.5000) [4 per cell]  1 Dy 3.00, 1 Er 3.06
Sm (0.2015, 0.0000, 0.1715) [4 per cell]  4 Sm 3.40-3.57, 3 Dy 3.42-3.62, 2 Er 3.64
Sm (0.2449, 0.5000, 0.2908) [4 per cell]  1 Dy 2.98, 3 Er 3.08-3.34
Dy (0.0000, 0.5000, 0.0000) [2 per cell]  2 Sm 2.98
Dy (0.0000, 0.5000, 0.5000) [2 per cell]  2 Sm 3.00
Dy (0.2500, 0.2500, 0.0000) [4 per cell]  8 Sm 3.42-3.64, 2 Er 3.42
Er (0.0000, 0.0000, 0.5000) [2 per cell]  4 Sm 3.06-3.08
Er (0.2500, 0.2500, 0.5000) [4 per cell]  8 Sm 3.34-3.64, 2 Dy 3.42